{"formula": "MnCoGe4", "functional": "PBE", "state": "relaxed", "relative_energy_mev_per_atom": 0, "lattice": [[-3.7684, -3.0205, -3.2942], [3.1745, -4.8420, 0.8083], [-2.5318, 2.7914, 5.5242]], "species": ["Co", "Mn", "Ge", "Ge", "Ge", "Ge", "Ge", "Co", "Ge", "Ge", "Mn", "Ge"], "fractional_positions": [[0.7500, 0.7500, 0.5000], [0.5000, 0.5000, 0.0000], [0.7094, 0.5222, 0.7316], [0.0222, 0.2094, 0.7316], [0.9778, 0.7906, 0.2684], [0.2906, 0.4778, 0.2684], [0.2094, 0.7094, 0.7316], [0.2500, 0.2500, 0.5000], [0.5222, 0.0222, 0.7316], [0.4778, 0.9778, 0.2684], [0.0000, 0.0000, 0.0000], [0.7906, 0.2906, 0.2684]]}



{"formula": "MnCoGe2", "functional": "PBE", "state": "relaxed", "relative_energy_mev_per_atom": 1, "lattice": [[2.9520, 0.0000, 0.0000], [0.0000, 4.0803, 0.0000], [0.0000, 0.0000, 4.0803]], "species": ["Ge", "Co", "Ge", "Mn"], "fractional_positions": [[0.0000, 0.0000, 0.5000], [0.5000, 0.0000, 0.0000], [0.0000, 0.5000, 0.0000], [0.5000, 0.5000, 0.5000]]}



{"formula": "MnCo2Ge", "functional": "PBE", "state": "relaxed", "lattice": [[3.0217, 0.0000, 0.0000], [0.0000, 3.9628, 0.0000], [0.0000, 0.0000, 3.9628]], "species": ["Co", "Mn", "Ge", "Co"], "fractional_positions": [[0.0000, 0.5000, 0.0000], [0.5000, 0.5000, 0.5000], [0.5000, 0.0000, 0.0000], [0.0000, 0.0000, 0.5000]]}



{"formula": "MnCo4Ge2", "functional": "PBE", "state": "relaxed", "lattice": [[3.7738, 0.0000, 1.1790], [1.7027, 3.3678, 1.1790], [-0.0636, -0.0391, 6.8326]], "species": ["Co", "Ge", "Mn", "Co", "Co", "Co", "Ge"], "fractional_positions": [[0.1260, 0.1260, 0.6221], [0.7523, 0.7523, 0.7432], [0.0000, 0.0000, 0.0000], [0.8740, 0.8740, 0.3779], [0.6236, 0.6236, 0.1292], [0.3764, 0.3764, 0.8708], [0.2477, 0.2477, 0.2568]]}



{"formula": "Mn2Co3Ge2", "functional": "PBE", "state": "relaxed", "lattice": [[3.8939, -0.0002, -1.0873], [-2.0989, 3.4567, -0.0037], [-0.1905, -0.1199, 6.8362]], "species": ["Co", "Mn", "Co", "Ge", "Co", "Mn", "Ge"], "fractional_positions": [[0.5006, 0.7507, 0.2508], [0.7606, 0.3806, 0.1402], [0.4994, 0.2493, 0.7492], [0.2478, 0.1244, 0.3713], [0.0000, 0.0000, 0.0000], [0.2394, 0.6194, 0.8598], [0.7522, 0.8756, 0.6287]]}



{"formula": "Mn2CoGe4", "functional": "PBE", "state": "relaxed", "lattice": [[-1.6944, -4.2186, -0.1769], [2.9162, -1.0314, -3.3363], [4.6303, -4.4098, 2.3085]], "species": ["Ge", "Ge", "Ge", "Mn", "Co", "Mn", "Ge"], "fractional_positions": [[0.0000, 0.5000, 0.0000], [0.5000, 0.0000, 0.0000], [0.8069, 0.8069, 0.3862], [0.6049, 0.6049, 0.7902], [0.0000, 0.0000, 0.0000], [0.3951, 0.3951, 0.2098], [0.1931, 0.1931, 0.6138]]}



no.,energy of formation (meV/atom),calculated total energy (eV/atom)
1,-34,-5.82
2,-16,-6.39
3,-184,-7.18
4,-89,-6.78
5,-92,-7.08
6,324,-5.95